Here is an optimized crystal structure of Tm2ZrInC from Alexandria via LeMat-Bulk. Energies are from PBE-GGA.

Energy of formation from the pure elements = -0.53 eV/atom

a = 4.7975 Å, b = 4.7975 Å, c = 4.6335 Å
α = 90.00°, β = 90.00°, γ = 90.00°
Positions (direct):
Tm (0.0000, 0.5000, 0.0000)
Tm (0.5000, 0.0000, 0.0000)
Zr (0.0000, 0.0000, 0.5000)
In (0.5000, 0.5000, 0.5000)
C (0.0000, 0.0000, 0.0000)

---

Here is an optimized crystal structure of TbCeHgO2 from Alexandria via LeMat-Bulk. Energies are from PBE-GGA.

Formation energy from raw total energies = -12.3 eV/f.u.

a = 6.8840 Å, b = 6.8840 Å, c = 6.8840 Å
α = 146.23°, β = 146.23°, γ = 48.50°
Positions (direct):
Tb (0.0000, 0.0000, 0.0000)
Ce (0.3199, 0.3199, 0.0000)
Hg (0.6675, 0.6675, 0.0000)
O (0.4154, 0.9154, 0.5000)
O (0.9154, 0.4154, 0.5000)

---

Here is an optimized crystal structure of HfTl2I5 from Alexandria via LeMat-Bulk. Energies are from PBE-GGA.

Formation energy from raw total energies = -5.0 eV/f.u.

a = 8.4675 Å, b = 8.4675 Å, c = 8.5634 Å
α = 119.63°, β = 119.63°, γ = 90.00°
Positions (direct):
Hf (0.0000, 0.0000, 0.0000)
Tl (0.2981, 0.7987, 0.5962)
Tl (0.7987, 0.2981, 0.5962)
I (0.1703, 0.1703, 0.8804)
I (0.1698, 0.7098, 0.8795)
I (0.2209, 0.2209, 0.4425)
I (0.7098, 0.1698, 0.8795)
I (0.7096, 0.7096, 0.8791)

---

Here is an optimized crystal structure of La2Sc3Pb4 from Alexandria via LeMat-Bulk. Energies are from PBE-GGA.

Energy of formation from the pure elements = -0.51 eV/atom

a = 9.2082 Å, b = 9.2082 Å, c = 8.8012 Å
α = 90.00°, β = 90.00°, γ = 136.23°
Positions (direct):
La (0.1133, 0.8867, 0.9127)
La (0.3867, 0.6133, 0.4127)
La (0.6133, 0.3867, 0.5873)
La (0.8867, 0.1133, 0.0873)
Sc (0.0000, 0.0000, 0.5000)
Sc (0.0402, 0.4598, 0.7500)
Sc (0.4598, 0.0402, 0.2500)
Sc (0.5000, 0.5000, 0.0000)
Sc (0.5402, 0.9598, 0.7500)
Sc (0.9598, 0.5402, 0.2500)
Pb (0.1867, 0.8133, 0.5512)
Pb (0.2121, 0.2879, 0.7500)
Pb (0.2879, 0.2121, 0.2500)
Pb (0.3133, 0.6867, 0.0512)
Pb (0.6867, 0.3133, 0.9488)
Pb (0.7121, 0.7879, 0.7500)
Pb (0.7879, 0.7121, 0.2500)
Pb (0.8133, 0.1867, 0.4488)

---

Here is an optimized crystal structure of IrW2CBr from Alexandria via LeMat-Bulk. Energies are from PBE-GGA.

Formation energy from raw total energies = 15.5 eV/f.u.

a = 4.8557 Å, b = 4.8557 Å, c = 5.0359 Å
α = 90.00°, β = 90.00°, γ = 90.00°
Positions (direct):
Ir (0.0000, 0.0000, 0.0000)
W (0.0000, 0.5000, 0.0000)
W (0.5000, 0.0000, 0.0000)
C (0.5000, 0.5000, 0.5000)
Br (0.0000, 0.0000, 0.5000)

---

Here is an optimized crystal structure of KHg2Pb2 from Alexandria via LeMat-Bulk. Energies are from PBE-GGA.

Energy of formation from the pure elements = -0.08 eV/atom
Distance to the lowest polymorph of the same formula = 31 kJ/mol of formula units

a = 7.1886 Å, b = 7.1886 Å, c = 7.1886 Å
α = 136.98°, β = 136.98°, γ = 62.47°
Positions (direct):
K (0.0000, 0.0000, 0.0000)
Hg (0.2500, 0.7500, 0.5000)
Hg (0.7500, 0.2500, 0.5000)
Pb (0.3758, 0.3758, 0.0000)
Pb (0.6242, 0.6242, 0.0000)

---

Here is an optimized crystal structure of HfSc2ReBr from Alexandria via LeMat-Bulk. Energies are from PBE-GGA.

Formation energy from raw total energies = 3.3 eV/f.u.

a = 4.8158 Å, b = 4.8158 Å, c = 4.7315 Å
α = 90.00°, β = 90.00°, γ = 90.00°
Positions (direct):
Hf (0.0000, 0.0000, 0.0000)
Sc (0.0000, 0.5000, 0.5000)
Sc (0.5000, 0.0000, 0.5000)
Re (0.5000, 0.5000, 0.0000)
Br (0.5000, 0.5000, 0.5000)

---

Here is an optimized crystal structure of PaCdRu4 from Alexandria via LeMat-Bulk. Energies are from PBE-GGA.

Energy of formation from the pure elements = -0.02 eV/atom

a = 5.2830 Å, b = 5.2830 Å, c = 5.2830 Å
α = 60.00°, β = 60.00°, γ = 60.00°
Positions (direct):
Pa (0.0000, 0.0000, 0.0000)
Cd (0.7500, 0.7500, 0.7500)
Ru (0.3754, 0.3754, 0.3754)
Ru (0.3754, 0.3754, 0.8738)
Ru (0.3754, 0.8738, 0.3754)
Ru (0.8738, 0.3754, 0.3754)

---

Here is an optimized crystal structure of FeTc2W from Alexandria via LeMat-Bulk. Energies are from PBE-GGA.

Energy of formation from the pure elements = 0.17 eV/atom

a = 4.6877 Å, b = 4.6877 Å, c = 4.7079 Å
α = 99.69°, β = 99.69°, γ = 33.98°
Positions (direct):
Fe (0.0000, 0.0000, 0.0000)
Tc (0.2582, 0.2582, 0.7530)
Tc (0.5053, 0.5053, 0.5130)
W (0.7473, 0.7473, 0.2383)

---

Here is an optimized crystal structure of TmCd4Pb from Alexandria via LeMat-Bulk. Energies are from PBE-GGA.

Energy of formation from the pure elements = -0.11 eV/atom
Distance to the lowest polymorph of the same formula = 0 kJ/mol of formula units

a = 9.6179 Å, b = 9.6179 Å, c = 5.1891 Å
α = 90.05°, β = 90.05°, γ = 141.16°
Positions (direct):
Tm (0.2022, 0.7978, 0.7500)
Tm (0.7978, 0.2022, 0.2500)
Cd (0.1118, 0.3678, 0.7508)
Cd (0.2063, 0.2846, 0.2517)
Cd (0.2846, 0.2063, 0.7517)
Cd (0.3678, 0.1118, 0.2508)
Cd (0.6322, 0.8882, 0.7492)
Cd (0.7154, 0.7937, 0.2483)
Cd (0.7937, 0.7154, 0.7483)
Cd (0.8882, 0.6322, 0.2492)
Pb (0.3052, 0.6948, 0.2500)
Pb (0.6948, 0.3052, 0.7500)

---

Here is an optimized crystal structure of SrCrP2Cl from Alexandria via LeMat-Bulk. Energies are from PBE-GGA.

Distance to the lowest polymorph of the same formula = 943 kJ/mol of formula units
Formation energy from raw total energies = 6.7 eV/f.u.

a = 5.4952 Å, b = 5.4952 Å, c = 5.2687 Å
α = 90.00°, β = 90.00°, γ = 90.00°
Positions (direct):
Sr (0.0000, 0.0000, 0.0000)
Cr (0.5000, 0.5000, 0.5000)
P (0.0000, 0.5000, 0.0000)
P (0.5000, 0.0000, 0.0000)
Cl (0.0000, 0.0000, 0.5000)

---

Here is an optimized crystal structure of Sc2HS from Alexandria via LeMat-Bulk. Energies are from PBE-GGA.

Distance to the lowest polymorph of the same formula = 42 kJ/mol of formula units

a = 5.3697 Å, b = 5.3697 Å, c = 5.3697 Å
α = 110.41°, β = 110.41°, γ = 107.61°
Positions (direct):
Sc (0.0558, 0.6250, 0.9308)
Sc (0.3750, 0.3058, 0.4308)
Sc (0.6942, 0.1250, 0.0692)
Sc (0.8750, 0.9442, 0.5692)
H (0.0000, 0.0000, 0.0000)
H (0.7500, 0.2500, 0.5000)
S (0.2500, 0.7500, 0.5000)
S (0.5000, 0.5000, 0.0000)

---

no.,calculated total energy (eV/atom),density of states at the Fermi level (states/eV/atom),total magnetic moment (μB/cell)
1,-6.42,0.401,0.00
2,-6.61,1.034,0.73
3,-3.43,0.080,1.04
4,-5.36,0.643,0.00
5,-6.03,1.054,1.94
6,-1.91,0.441,0.00
7,-6.69,1.459,0.00
8,-7.94,0.877,0.00
9,-10.37,1.005,1.13
10,-2.09,0.413,0.00
11,-3.45,1.514,0.19
12,-6.04,0.163,0.00